Below is KZn2Pb at its PBEsol-relaxed geometry, with properties calculated at the meta-GGA SCAN level.

Results
- N(E_F): 0.6024 states/eV/atom
- ΔH_f (0 K): 0.17 eV per atom
- ΔE to the lowest computed polymorph: 0 meV per atom

Cell lengths 3.792, 3.792, 7.410 Å; angles 90.00, 90.00, 90.00 degrees
Sites, in units of the cell vectors:
K  0.000  0.000  0.000
Zn  0.500  0.500  0.310
Zn  0.500  0.500  0.690
Pb  0.000  0.000  0.500